Material: ReMoO3
Method: DFT, PBE+U
State: relaxed

Properties
* raw total energy: -0.278 Ha/atom
* total magnetization: 4.69 Bohr magnetons per cell

Cell lengths 3.923, 3.923, 3.923 Å; angles 90.00, 90.00, 90.00 degrees
Sites, in units of the cell vectors:
1 Re 0.000 0.000 0.000
2 Mo 0.500 0.500 0.500
3 O 0.000 0.000 0.500
4 O 0.000 0.500 0.000
5 O 0.500 0.000 0.000